Entry 1:
# Ru3SeI, relaxed, DFT PBE-GGA
data_Ru3SeI
_chemical_formula_sum 'Ru3 Se1 I1'
_space_group_name_H-M_alt 'P 1'
_space_group_IT_number 1
_cell_length_a 4.659
_cell_length_b 4.659
_cell_length_c 4.659
_cell_angle_alpha 90.00
_cell_angle_beta 90.00
_cell_angle_gamma 90.00
loop_
_space_group_symop_operation_xyz
'x,y,z'
loop_
_atom_site_label
_atom_site_fract_x
_atom_site_fract_y
_atom_site_fract_z
I1 0.500 0.500 0.500
Ru1 0.000 0.500 0.000
Ru2 0.000 0.000 0.500
Ru3 0.500 0.000 0.000
Se1 0.000 0.000 0.000
# SG	Pm-3m, No. 221
# energy relative to the lowest polymorph listed for this composition	0.0	kJ per mole of atoms

Entry 2:
# Ru2SeI, relaxed, DFT PBE-GGA
data_Ru2SeI
_chemical_formula_sum 'Ru2 Se1 I1'
_space_group_name_H-M_alt 'P 1'
_space_group_IT_number 1
_cell_length_a 4.611
_cell_length_b 4.611
_cell_length_c 4.611
_cell_angle_alpha 60.00
_cell_angle_beta 60.00
_cell_angle_gamma 60.00
loop_
_space_group_symop_operation_xyz
'x,y,z'
loop_
_atom_site_label
_atom_site_fract_x
_atom_site_fract_y
_atom_site_fract_z
I1 0.500 0.500 0.500
Ru1 0.250 0.250 0.250
Ru2 0.750 0.750 0.750
Se1 0.000 0.000 0.000
# SG	Fm-3m, No. 225
# energy relative to the lowest polymorph listed for this composition	20.2	kJ per mole of atoms

Entry 3:
# RuSe6I12, relaxed, DFT PBE-GGA
data_RuSe6I12
_chemical_formula_sum 'Ru1 Se6 I12'
_space_group_name_H-M_alt 'P 1'
_space_group_IT_number 1
_cell_length_a 13.607
_cell_length_b 13.607
_cell_length_c 13.607
_cell_angle_alpha 36.72
_cell_angle_beta 36.72
_cell_angle_gamma 36.72
loop_
_space_group_symop_operation_xyz
'x,y,z'
loop_
_atom_site_label
_atom_site_fract_x
_atom_site_fract_y
_atom_site_fract_z
Ru1 0.000 0.000 0.000
Se1 0.113 0.189 0.455
Se2 0.811 0.545 0.887
Se3 0.545 0.887 0.811
Se4 0.887 0.811 0.545
Se5 0.189 0.455 0.113
Se6 0.455 0.113 0.189
I1 0.450 0.173 0.782
I2 0.173 0.782 0.450
I3 0.782 0.450 0.173
I4 0.550 0.827 0.218
I5 0.827 0.218 0.550
I6 0.218 0.550 0.827
I7 0.240 0.910 0.730
I8 0.270 0.760 0.090
I9 0.090 0.270 0.760
I10 0.760 0.090 0.270
I11 0.730 0.240 0.910
I12 0.910 0.730 0.240
# SG	R-3, No. 148

It is found that the formation energy without anion corrections values, taken in the order of the records, are 5.828, 2.808, 1.840 eV/f.u..
It is found that the ρ values, taken in the order of the records, are 8.36, 9.78, 4.32 g/cm3.
It is found that the density of states at the Fermi level values, taken in the order of the records, are 1.477, 0.859, 0.488 states/eV per atom.